(1)
YPb2AuN after structural relaxation, computed with GGA-PBE.

a b c (Å): 6.062 6.062 4.153
angles (deg): 90.00 90.00 90.00
Space group P4/mmm (No. 123)
Unique sites:
1 Y 0.000 0.000 0.000 (multiplicity 1)
2 Pb 0.000 0.500 0.000 (multiplicity 2)
3 Au 0.500 0.500 0.500 (multiplicity 1)
4 N 0.000 0.000 0.500 (multiplicity 1)

Values from the calculation:
E_tot in eV per formula unit: -22.26
Uncorrected formation energy in kJ per mole of atoms: 62.2

***

(2)
Pd3AuN after structural relaxation, computed with GGA-PBE.

a b c (Å): 4.174 4.174 4.174
angles (deg): 90.00 90.00 90.00
Space group Pm-3m (No. 221)
Unique sites:
1 Pd 0.000 0.000 0.500 (multiplicity 3)
2 Au 0.500 0.500 0.500 (multiplicity 1)
3 N 0.000 0.000 0.000 (multiplicity 1)

Values from the calculation:
E_tot in eV per formula unit: -26.24
Excess energy over the best structure of this formula in the dataset in meV/atom: 0.0
Uncorrected formation energy in kJ per mole of atoms: 18.1

***

(3)
PdAuN after structural relaxation, computed with GGA-PBE.

a b c (Å): 4.044 4.049 14.918
angles (deg): 90.00 95.41 90.00
Space group C2/m (No. 12)
Unique sites:
1 Pd 0.177 0.000 0.293 (multiplicity 4)
2 Au 0.224 0.500 0.427 (multiplicity 4)
3 N 0.013 0.500 0.037 (multiplicity 4)

Values from the calculation:
E_tot in eV per formula unit: -15.94
Excess energy over the best structure of this formula in the dataset in meV/atom: 0.0
Uncorrected formation energy in kJ per mole of atoms: 27.4

***

(4)
PdAuN2 after structural relaxation, computed with GGA-PBE.

a b c (Å): 5.693 5.693 5.693
angles (deg): 90.00 90.00 90.00
Space group Fm-3m (No. 225)
Unique sites:
1 Pd 0.000 0.000 0.000 (multiplicity 4)
2 Au 0.000 0.000 0.500 (multiplicity 4)
3 N 0.250 0.250 0.250 (multiplicity 8)

Values from the calculation:
E_tot in eV per formula unit: -17.97
Excess energy over the best structure of this formula in the dataset in meV/atom: 835.1
Uncorrected formation energy in kJ per mole of atoms: 172.5